The following is a DFT calculation (PBE) of Dy4HgAu7 after structural relaxation.

Properties
* E: -4.075 eV/atom
* formation enthalpy at 0 K: -0.60 eV/atom

a b c (Å): 7.390 7.390 9.541
angles (deg): 121.82 121.82 41.53
Atoms (fractional coordinates):
1 Dy 0.068 0.068 0.247
2 Dy 0.239 0.239 0.783
3 Dy 0.761 0.761 0.217
4 Dy 0.932 0.932 0.753
5 Hg 0.500 0.500 0.500
6 Au 0.000 0.000 0.500
7 Au 0.178 0.178 0.052
8 Au 0.316 0.316 0.560
9 Au 0.425 0.425 0.145
10 Au 0.575 0.575 0.855
11 Au 0.684 0.684 0.440
12 Au 0.822 0.822 0.948

=====

The following is a DFT calculation (PBE) of As3Rh after structural relaxation.

Properties
* E: -5.251 eV/atom
* formation enthalpy at 0 K: 0.07 eV/atom

a b c (Å): 7.116 7.116 4.039
angles (deg): 90.00 90.00 120.00
Atoms (fractional coordinates):
1 As 0.210 0.421 0.250
2 As 0.210 0.790 0.250
3 As 0.421 0.210 0.750
4 As 0.579 0.790 0.250
5 As 0.790 0.210 0.750
6 As 0.790 0.579 0.750
7 Rh 0.333 0.667 0.750
8 Rh 0.667 0.333 0.250

=====

The following is a DFT calculation (PBE) of Na5Cu3P3 after structural relaxation.

Properties
* E: -3.392 eV/atom
* formation enthalpy at 0 K: -0.20 eV/atom

a b c (Å): 8.846 8.846 4.248
angles (deg): 90.00 90.00 120.00
Atoms (fractional coordinates):
1 Na 0.000 0.265 0.000
2 Na 0.265 0.000 0.000
3 Na 0.333 0.667 0.000
4 Na 0.667 0.333 0.000
5 Na 0.735 0.735 0.000
6 Cu 0.000 0.662 0.500
7 Cu 0.338 0.338 0.500
8 Cu 0.662 0.000 0.500
9 P 0.000 0.631 0.000
10 P 0.369 0.369 0.000
11 P 0.631 0.000 0.000

=====

The following is a DFT calculation (PBE) of Zr3ScOs after structural relaxation.

Properties
* E: -7.094 eV/atom
* formation enthalpy at 0 K: 1.55 eV/atom

a b c (Å): 4.827 4.827 4.827
angles (deg): 90.00 90.00 90.00
Atoms (fractional coordinates):
1 Zr 0.000 0.000 0.500
2 Zr 0.000 0.500 0.000
3 Zr 0.500 0.000 0.000
4 Sc 0.000 0.000 0.000
5 Os 0.500 0.500 0.500

=====

The following is a DFT calculation (PBE) of TmTlInPb after structural relaxation.

Properties
* E: -3.560 eV/atom
* formation enthalpy at 0 K: -0.24 eV/atom

a b c (Å): 4.545 4.729 4.978
angles (deg): 90.00 90.00 90.00
Atoms (fractional coordinates):
1 Tm 0.000 0.000 0.000
2 Tl 0.500 0.000 0.500
3 In 0.000 0.500 0.500
4 Pb 0.500 0.500 0.000

=====

The following is a DFT calculation (PBE) of Co3Mo5 after structural relaxation.

Properties
* E: -9.291 eV/atom
* formation enthalpy at 0 K: 0.14 eV/atom

a b c (Å): 7.294 7.294 4.856
angles (deg): 90.00 90.00 120.00
Atoms (fractional coordinates):
1 Co 0.000 0.416 0.250
2 Co 0.000 0.584 0.750
3 Co 0.416 0.000 0.250
4 Co 0.416 0.416 0.750
5 Co 0.584 0.000 0.750
6 Co 0.584 0.584 0.250
7 Mo 0.000 0.227 0.750
8 Mo 0.000 0.773 0.250
9 Mo 0.227 0.000 0.750
10 Mo 0.227 0.227 0.250
11 Mo 0.333 0.667 0.000
12 Mo 0.333 0.667 0.500
13 Mo 0.667 0.333 0.000
14 Mo 0.667 0.333 0.500
15 Mo 0.773 0.000 0.250
16 Mo 0.773 0.773 0.750